(1)
SCAN AgTe2, PBEsol geometry; raw formation energy = 0.2 eV per formula unit
1.0
4.120 0.000 0.000
0.000 4.068 0.000
-1.637 0.000 9.704
Ag Te
2 4
Direct
0.245 0.250 0.002
0.755 0.750 0.998
0.009 0.750 0.602
0.335 0.750 0.200
0.665 0.250 0.800
0.991 0.250 0.398

(2)
SCAN NiRhAu2, PBEsol geometry; energy relative to the lowest polymorph listed for this composition = 78.5 meV per atom; E_form = 0.130 eV/atom
1.0
-1.938 1.938 3.877
1.938 -1.938 3.877
1.938 1.938 -3.877
Ni Rh Au
1 1 2
Direct
0.000 0.000 0.000
0.750 0.250 0.500
0.250 0.750 0.500
0.500 0.500 0.000

Repeat the second record exactly.
SCAN NiRhAu2, PBEsol geometry; energy relative to the lowest polymorph listed for this composition = 78.5 meV per atom; E_form = 0.130 eV/atom
1.0
-1.938 1.938 3.877
1.938 -1.938 3.877
1.938 1.938 -3.877
Ni Rh Au
1 1 2
Direct
0.000 0.000 0.000
0.750 0.250 0.500
0.250 0.750 0.500
0.500 0.500 0.000